Below is a relaxed structure of Nd2PbS4, with properties calculated at the PBE level.

Structure (extended XYZ):
```
28
Lattice="4.205 0.000 0.000 0.000 11.566 0.000 0.000 0.000 15.246" Properties=species:S:1:pos:R:3 pbc="T T T"
Nd 3.153 1.403 13.778
Nd 1.051 10.163 1.469
Nd 3.153 7.186 9.092
Nd 1.051 4.380 6.155
Nd 1.051 5.237 13.564
Nd 3.153 6.330 1.683
Nd 1.051 11.020 9.306
Nd 3.153 0.547 5.940
Pb 1.051 8.015 4.915
Pb 3.153 3.551 10.332
Pb 1.051 2.232 2.709
Pb 3.153 9.334 12.538
S 3.153 0.642 1.262
S 1.051 10.925 13.985
S 3.153 6.425 6.362
S 1.051 5.141 8.885
S 3.153 0.102 11.079
S 1.051 11.464 4.168
S 3.153 5.885 11.791
S 1.051 5.681 3.456
S 3.153 4.079 15.172
S 1.051 7.487 0.074
S 3.153 9.862 7.697
S 1.051 1.704 7.549
S 1.051 2.722 12.360
S 3.153 8.844 2.887
S 1.051 8.505 10.510
S 3.153 3.061 4.736
```

## Properties
E above lowest polymorph: 0 meV/atom
E_form (uncorrected): -1598 meV/atom
Space-group type: Pnma (62)

Below is a relaxed structure of NdSc4PbS8, with properties calculated at the PBE level.

Structure (extended XYZ):
```
14
Lattice="7.728 0.000 0.000 3.864 6.693 0.000 3.864 2.231 6.683" Properties=species:S:1:pos:R:3 pbc="T T T"
Nd 3.864 2.231 6.657
Sc 7.728 4.462 0.791
Sc 11.592 4.454 3.354
Sc 9.653 7.812 3.354
Sc 13.531 7.812 3.354
Pb 7.728 4.462 5.976
S 7.728 6.871 4.747
S 9.815 3.257 4.747
S 5.641 3.257 4.747
S 3.864 2.231 2.097
S 7.728 2.186 1.812
S 5.757 5.599 1.812
S 9.698 5.599 1.812
S 11.592 6.693 4.861
```

## Properties
E_form (uncorrected): -1633 meV/atom
Space-group type: R3m (160)

Below is a relaxed structure of Nd6PbSe3S2, with properties calculated at the PBE level.

Structure (extended XYZ):
```
12
Lattice="4.219 0.000 0.000 0.000 8.545 0.272 -2.110 -2.496 8.942" Properties=species:S:1:pos:R:3 pbc="T T T"
Nd 0.000 6.026 6.113
Nd 2.110 4.042 3.235
Nd 2.110 0.023 3.101
Nd 0.000 2.227 0.193
Nd 2.110 3.822 9.021
Nd 0.000 2.007 5.979
Pb 2.110 0.000 0.000
Se 2.110 4.272 0.136
Se 2.110 -0.246 6.067
Se 0.000 6.295 3.147
S 2.110 4.015 6.112
S 0.000 2.034 3.102
```

## Properties
E_form (uncorrected): -1661 meV/atom
Space-group type: C2/m (12)

Below is a relaxed structure of Nd4PbSeS2, with properties calculated at the PBE level.

Structure (extended XYZ):
```
8
Lattice="4.218 0.000 0.000 0.000 7.389 -0.162 0.000 2.585 6.892" Properties=species:S:1:pos:R:3 pbc="T T T"
Nd 0.000 7.617 4.929
Nd 4.218 2.356 1.800
Nd 2.109 6.323 1.592
Nd 2.109 3.651 5.138
Pb 2.109 3.694 -0.081
Se 0.000 4.987 3.365
S 0.000 2.585 6.892
S 2.109 1.293 3.446
```

## Properties
E_form (uncorrected): -1578 meV/atom
Space-group type: P2/m (10)

Below is a relaxed structure of Nd6PbSe2S3, with properties calculated at the PBE level.

Structure (extended XYZ):
```
12
Lattice="-1.387 3.201 2.292 -7.238 0.067 -4.472 -1.060 -7.360 5.835" Properties=species:S:1:pos:R:3 pbc="T T T"
Nd -7.867 -3.697 0.404
Nd -5.555 -0.221 0.749
Nd -1.818 -0.395 3.252
Nd -4.391 -4.113 6.888
Nd -5.294 0.021 -3.232
Nd -4.130 -3.871 2.907
Pb -0.693 1.601 1.146
Se -6.659 -2.162 2.792
Se -3.026 -1.929 0.864
S -4.312 1.634 -1.090
S -3.107 -2.242 5.052
S -6.578 -1.849 -1.397
```

## Properties
E_form (uncorrected): -1697 meV/atom
Space-group type: C2/m (12)

Below is a relaxed structure of Nd2Si2PbS8, with properties calculated at the PBE level.

Structure (extended XYZ):
```
26
Lattice="9.012 -0.048 0.010 4.421 7.854 0.010 4.273 2.483 8.945" Properties=species:S:1:pos:R:3 pbc="T T T"
Nd 4.852 3.850 6.711
Nd 9.683 6.244 6.760
Nd 3.611 1.068 2.238
Nd 8.083 4.079 2.287
Si 6.688 1.418 0.198
Si 6.680 6.350 4.671
Si 10.891 9.095 8.772
Si 11.158 3.717 4.300
Pb 14.028 9.018 6.654
Pb 12.644 6.481 2.181
S 16.189 9.990 8.269
S 12.217 5.506 8.457
S 8.951 4.206 8.536
S 8.696 6.646 3.985
S 14.558 7.877 3.797
S 5.950 4.452 4.064
S 1.471 0.668 0.422
S 5.472 4.991 0.596
S 8.590 6.396 0.634
S 9.183 3.524 5.068
S 3.445 2.189 4.895
S 11.947 5.537 5.106
S 6.677 1.406 2.334
S 6.665 6.346 6.806
S 10.803 9.021 6.639
S 11.050 3.677 2.167
```

## Properties
E_form (uncorrected): -1232 meV/atom
Space-group type: Cc (9)

| no. | final energy (eV/atom) |
| --- | --- |
| 1 | -5.85 |
| 2 | -6.41 |
| 3 | -5.91 |
| 4 | -5.89 |
| 5 | -6.00 |
| 6 | -5.62 |